# 1
Material: OsPdRh
Method: DFT, GGA-PBE
State: relaxed

total magnetic moment = 0.0 μB per cell
calculated formation energy = 0.1074 eV/atom

POSCAR file:
```
OsPdRh
1.0
-1.9982 -0.7525 -1.7000
-0.3973 -0.0923 2.6986
-2.2952 6.3667 -0.1202
Pd Os Rh
1 1 1
direct
0.0000 0.0000 0.0034 Pd
0.6667 0.3333 0.3399 Os
0.3333 0.6667 0.6567 Rh
```


# 2
Material: OsPdRh
Method: DFT, GGA-PBE
State: relaxed

total magnetic moment = 0.0 μB per cell
calculated formation energy = 0.3313 eV/atom

POSCAR file:
```
OsPdRh
1.0
-2.8811 -3.6100 0.2310
1.3609 -3.9795 1.9231
-2.6845 -3.6892 5.9242
Rh Pd Os
2 2 2
direct
0.0051 0.0051 0.8600 Rh
0.7481 0.7481 0.4473 Rh
0.2601 0.2601 0.9669 Pd
0.4931 0.4931 0.3404 Pd
0.6637 0.6637 0.8642 Os
0.0895 0.0895 0.4432 Os
```


# 3
Material: OsPdRh
Method: DFT, GGA-PBE
State: relaxed

total magnetic moment = 0.0 μB per cell
calculated formation energy = 0.0231 eV/atom

POSCAR file:
```
OsPdRh
1.0
-1.5553 1.1766 -1.9281
-1.1711 -1.1121 2.2164
0.9586 11.7968 6.4257
Pd Os Rh
2 2 2
direct
0.6667 0.3333 0.6613 Pd
0.3333 0.6667 0.4866 Pd
0.6667 0.3333 0.1559 Os
0.0000 0.0000 0.9966 Os
0.3333 0.6667 0.8329 Rh
0.0000 0.0000 0.3156 Rh
```


# 4
Material: Os2PdRh
Method: DFT, GGA-PBE
State: relaxed

total magnetic moment = 0.0 μB per cell
calculated formation energy = 1.5677 eV/atom

POSCAR file:
```
Os2PdRh
1.0
-1.0993 3.6829 4.0703
3.8017 -2.4836 3.2740
5.2276 3.9352 1.7011
Os Pd Rh
4 2 2
direct
0.1345 0.6250 0.2500 Os
0.8750 0.8655 0.7500 Os
0.3750 0.3845 0.7500 Os
0.6155 0.1250 0.2500 Os
0.0000 0.0000 0.0000 Pd
0.7500 0.2500 0.5000 Pd
0.5000 0.5000 0.0000 Rh
0.2500 0.7500 0.5000 Rh
```


# 5
Material: OsPd2Rh2
Method: DFT, GGA-PBE
State: relaxed

total magnetic moment = 0.0 μB per cell
calculated formation energy = 0.0160 eV/atom

POSCAR file:
```
OsPd2Rh2
1.0
-1.2945 2.3384 0.5726
-1.4585 0.2269 2.3006
9.1865 3.7488 5.4527
Os Rh Pd
1 2 2
direct
0.0000 0.0000 0.0000 Os
0.3335 0.3335 0.1908 Rh
0.6665 0.6665 0.8092 Rh
0.3335 0.3335 0.6048 Pd
0.6665 0.6665 0.3952 Pd
```


# 6
Material: Os2PdRuRh
Method: DFT, GGA-PBE
State: relaxed

total magnetic moment = 1.8 μB per cell
calculated formation energy = 2.0328 eV/atom

POSCAR file:
```
Os2PdRuRh
1.0
4.6220 0.0000 0.0000
0.0000 4.6220 0.0000
0.0000 0.0000 4.6483
Rh Os Ru Pd
1 2 1 1
direct
0.0000 0.0000 0.5000 Rh
0.5000 0.0000 0.0000 Os
0.0000 0.5000 0.0000 Os
0.0000 0.0000 0.0000 Ru
0.5000 0.5000 0.5000 Pd
```


# 7
Material: Sc2OsPdRh
Method: DFT, GGA-PBE
State: relaxed

total magnetic moment = 1.2 μB per cell
calculated formation energy = 0.8883 eV/atom

POSCAR file:
```
Sc2OsPdRh
1.0
-3.3801 -3.3574 0.2714
3.3045 -3.2508 0.9401
-0.4808 0.8614 4.6688
Sc Os Rh Pd
2 1 1 1
direct
0.5000 0.0000 0.0000 Sc
0.0000 0.0000 0.5000 Sc
0.5000 0.5000 0.5000 Os
0.0000 0.5000 0.0000 Rh
0.0000 0.0000 0.0000 Pd
```


# 8
Material: Si2OsPdRh
Method: DFT, GGA-PBE
State: relaxed

total magnetic moment = 0.0 μB per cell
formation energy from raw total energies = 5.60 eV/f.u.

POSCAR file:
```
Si2OsPdRh
1.0
-3.7229 -0.8064 2.2843
1.9696 -4.0178 1.7916
1.6044 2.3172 3.4329
Pd Rh Si Os
1 1 2 1
direct
0.5000 0.5000 0.5000 Pd
0.0000 0.0000 0.0000 Rh
0.5000 0.0000 0.0000 Si
0.0000 0.0000 0.5000 Si
0.0000 0.5000 0.0000 Os
```


# 9
Material: TaOsPdRh2
Method: DFT, GGA-PBE
State: relaxed

total magnetic moment = 0.0 μB per cell
calculated formation energy = 1.3004 eV/atom

POSCAR file:
```
TaOsPdRh2
1.0
-3.5549 0.3594 3.0487
1.5410 -3.8829 2.2545
2.6644 2.6780 2.7911
Pd Ta Rh Os
1 1 2 1
direct
0.5000 0.5000 0.5000 Pd
0.0000 0.5000 0.0000 Ta
0.0000 0.0000 0.5000 Rh
0.5000 0.0000 0.0000 Rh
0.0000 0.0000 0.0000 Os
```


# 10
Material: Ti2OsPdRh
Method: DFT, GGA-PBE
State: relaxed

total magnetic moment = 0.0 μB per cell
calculated formation energy = 0.8078 eV/atom

POSCAR file:
```
Ti2OsPdRh
1.0
-0.1523 1.9583 4.1573
-4.4109 1.6958 -0.9604
-1.8520 -3.8330 1.7377
Os Rh Ti Pd
1 1 2 1
direct
0.0000 0.0000 0.0000 Os
0.5000 0.5000 0.5000 Rh
0.0000 0.0000 0.5000 Ti
0.5000 0.0000 0.0000 Ti
0.0000 0.5000 0.0000 Pd
```


# 11
Material: Os2PdRu
Method: DFT, GGA-PBE
State: relaxed

total magnetic moment = 1.7 μB per cell
calculated formation energy = 0.7229 eV/atom

POSCAR file:
```
Os2PdRu
1.0
0.0000 3.0946 3.0946
3.0946 0.0000 3.0946
3.0946 3.0946 0.0000
Os Pd Ru
2 1 1
direct
0.7500 0.7500 0.7500 Os
0.2500 0.2500 0.2500 Os
0.5000 0.5000 0.5000 Pd
0.0000 0.0000 0.0000 Ru
```


# 12
Material: OsPdRu2
Method: DFT, GGA-PBE
State: relaxed

total magnetic moment = 1.1 μB per cell
calculated formation energy = 0.5703 eV/atom

POSCAR file:
```
OsPdRu2
1.0
0.0000 3.0850 3.0850
3.0850 0.0000 3.0850
3.0850 3.0850 0.0000
Pd Ru Os
1 2 1
direct
0.0000 0.0000 0.0000 Pd
0.2500 0.2500 0.2500 Ru
0.7500 0.7500 0.7500 Ru
0.5000 0.5000 0.5000 Os
```


Number 1: DFT total energy -7.817 eV per atom. Number 2: DFT total energy -7.593 eV per atom. Number 3: DFT total energy -7.902 eV per atom. Number 4: DFT total energy -7.183 eV per atom. Number 5: DFT total energy -7.248 eV per atom. Number 6: DFT total energy -6.823 eV per atom. Number 7: DFT total energy -6.399 eV per atom. Number 8: DFT total energy -5.805 eV per atom. Number 9: DFT total energy -7.295 eV per atom. Number 10: DFT total energy -7.105 eV per atom. Number 11: DFT total energy -8.509 eV per atom. Number 12: DFT total energy -8.173 eV per atom.